Record 1
The following is a PBE calculation of crystalline Cd4Sn3Hg2 at its relaxed geometry, from Alexandria.

Cell and atoms, written as CIF:
```
data_Cd4Sn3Hg2
_chemical_formula_sum 'Cd4 Sn3 Hg2'
_cell_length_a 5.492
_cell_length_b 5.492
_cell_length_c 9.175
_cell_angle_alpha 97.09
_cell_angle_beta 97.09
_cell_angle_gamma 57.48
_symmetry_space_group_name_H-M 'P 1'
_symmetry_Int_Tables_number 1
_symmetry_space_group_name_Hall 'P 1'
loop_
_atom_site_label
_atom_site_type_symbol
_atom_site_fract_x
_atom_site_fract_y
_atom_site_fract_z
_atom_site_occupancy
Cd1 Cd 0.026 0.026 0.167 1
Cd2 Cd 0.351 0.351 0.359 1
Cd3 Cd 0.649 0.649 0.641 1
Cd4 Cd 0.974 0.974 0.833 1
Sn1 Sn 0.000 0.000 0.500 1
Sn2 Sn 0.339 0.339 0.025 1
Sn3 Sn 0.661 0.661 0.975 1
Hg1 Hg 0.319 0.319 0.687 1
Hg2 Hg 0.681 0.681 0.313 1
```

Output
Calculated formation energy in eV per atom: 0.062
E in eV per atom: -1.75
Magnetization in μB per cell: 0.00

***

Record 2
The following is a PBE calculation of crystalline SrPmSi2Pt5 at its relaxed geometry, from Alexandria.

Cell and atoms, written as CIF:
```
data_SrPmSi2Pt5
_chemical_formula_sum 'Sr1 Pm1 Si2 Pt5'
_cell_length_a 4.141
_cell_length_b 4.141
_cell_length_c 11.397
_cell_angle_alpha 90.00
_cell_angle_beta 90.00
_cell_angle_gamma 90.00
_symmetry_space_group_name_H-M 'P 1'
_symmetry_Int_Tables_number 1
_symmetry_space_group_name_Hall 'P 1'
loop_
_atom_site_label
_atom_site_type_symbol
_atom_site_fract_x
_atom_site_fract_y
_atom_site_fract_z
_atom_site_occupancy
Sr1 Sr 0.000 0.000 0.000 1
Pm1 Pm 0.000 0.000 0.500 1
Si1 Si 0.500 0.500 0.206 1
Si2 Si 0.500 0.500 0.794 1
Pt1 Pt 0.000 0.500 0.308 1
Pt2 Pt 0.000 0.500 0.692 1
Pt3 Pt 0.500 0.000 0.308 1
Pt4 Pt 0.500 0.000 0.692 1
Pt5 Pt 0.500 0.500 0.000 1
```

Output
E in eV per atom: -6.15
Magnetization in μB per cell: 0.00
Energy relative to the elements, uncorrected in eV/atom: -0.87

***

Record 3
The following is a PBE calculation of crystalline MgTc3Mo at its relaxed geometry, from Alexandria.

Cell and atoms, written as CIF:
```
data_MgTc3Mo
_chemical_formula_sum 'Mg1 Tc3 Mo1'
_cell_length_a 4.404
_cell_length_b 4.404
_cell_length_c 4.404
_cell_angle_alpha 90.00
_cell_angle_beta 90.00
_cell_angle_gamma 90.00
_symmetry_space_group_name_H-M 'P 1'
_symmetry_Int_Tables_number 1
_symmetry_space_group_name_Hall 'P 1'
loop_
_atom_site_label
_atom_site_type_symbol
_atom_site_fract_x
_atom_site_fract_y
_atom_site_fract_z
_atom_site_occupancy
Mg1 Mg 0.000 0.000 0.000 1
Tc1 Tc 0.000 0.000 0.500 1
Tc2 Tc 0.000 0.500 0.000 1
Tc3 Tc 0.500 0.000 0.000 1
Mo1 Mo 0.500 0.500 0.500 1
```

Output
Calculated formation energy in eV per atom: 1.969
E in eV per atom: -6.74
Magnetization in μB per cell: 1.12

***

Record 4
The following is a PBE calculation of crystalline BaLaZn2Ge2 at its relaxed geometry, from Alexandria.

Cell and atoms, written as CIF:
```
data_BaLaZn2Ge2
_chemical_formula_sum 'Ba1 La1 Zn2 Ge2'
_cell_length_a 4.376
_cell_length_b 4.376
_cell_length_c 9.291
_cell_angle_alpha 90.00
_cell_angle_beta 90.00
_cell_angle_gamma 120.00
_symmetry_space_group_name_H-M 'P 1'
_symmetry_Int_Tables_number 1
_symmetry_space_group_name_Hall 'P 1'
loop_
_atom_site_label
_atom_site_type_symbol
_atom_site_fract_x
_atom_site_fract_y
_atom_site_fract_z
_atom_site_occupancy
Ba1 Ba 0.000 0.000 0.000 1
La1 La 0.000 0.000 0.500 1
Zn1 Zn 0.333 0.667 0.723 1
Zn2 Zn 0.667 0.333 0.277 1
Ge1 Ge 0.333 0.667 0.274 1
Ge2 Ge 0.667 0.333 0.726 1
```

Output
Calculated formation energy in eV per atom: -0.591
E in eV per atom: -3.70
Magnetization in μB per cell: 0.00

***

Record 5
The following is a PBE calculation of crystalline BaScAu at its relaxed geometry, from Alexandria.

Cell and atoms, written as CIF:
```
data_BaScAu
_chemical_formula_sum 'Ba1 Sc1 Au1'
_cell_length_a 7.077
_cell_length_b 7.077
_cell_length_c 7.077
_cell_angle_alpha 149.60
_cell_angle_beta 149.60
_cell_angle_gamma 43.53
_symmetry_space_group_name_H-M 'P 1'
_symmetry_Int_Tables_number 1
_symmetry_space_group_name_Hall 'P 1'
loop_
_atom_site_label
_atom_site_type_symbol
_atom_site_fract_x
_atom_site_fract_y
_atom_site_fract_z
_atom_site_occupancy
Ba1 Ba 0.000 0.000 0.000 1
Sc1 Sc 0.269 0.269 0.000 1
Au1 Au 0.690 0.690 0.000 1
```

Output
Calculated formation energy in eV per atom: -0.388
E in eV per atom: -4.23
Magnetization in μB per cell: 0.00

***

Record 6
The following is a PBE calculation of crystalline NdCdRu at its relaxed geometry, from Alexandria.

Cell and atoms, written as CIF:
```
data_NdCdRu
_chemical_formula_sum 'Nd2 Cd2 Ru2'
_cell_length_a 4.163
_cell_length_b 4.142
_cell_length_c 8.773
_cell_angle_alpha 90.00
_cell_angle_beta 103.63
_cell_angle_gamma 90.00
_symmetry_space_group_name_H-M 'P 1'
_symmetry_Int_Tables_number 1
_symmetry_space_group_name_Hall 'P 1'
loop_
_atom_site_label
_atom_site_type_symbol
_atom_site_fract_x
_atom_site_fract_y
_atom_site_fract_z
_atom_site_occupancy
Nd1 Nd 0.096 0.250 0.195 1
Nd2 Nd 0.904 0.750 0.805 1
Cd1 Cd 0.298 0.250 0.592 1
Cd2 Cd 0.702 0.750 0.408 1
Ru1 Ru 0.466 0.250 0.929 1
Ru2 Ru 0.534 0.750 0.071 1
```

Output
Calculated formation energy in eV per atom: -0.199
E in eV per atom: -5.19
Magnetization in μB per cell: 0.00

***

Record 7
The following is a PBE calculation of crystalline MnBiWAu2 at its relaxed geometry, from Alexandria.

Cell and atoms, written as CIF:
```
data_MnBiWAu2
_chemical_formula_sum 'Mn1 Bi1 W1 Au2'
_cell_length_a 4.945
_cell_length_b 4.945
_cell_length_c 4.457
_cell_angle_alpha 90.00
_cell_angle_beta 90.00
_cell_angle_gamma 90.00
_symmetry_space_group_name_H-M 'P 1'
_symmetry_Int_Tables_number 1
_symmetry_space_group_name_Hall 'P 1'
loop_
_atom_site_label
_atom_site_type_symbol
_atom_site_fract_x
_atom_site_fract_y
_atom_site_fract_z
_atom_site_occupancy
Mn1 Mn 0.000 0.000 0.000 1
Bi1 Bi 0.500 0.500 0.500 1
W1 W 0.000 0.000 0.500 1
Au1 Au 0.000 0.500 0.000 1
Au2 Au 0.500 0.000 0.000 1
```

Output
Calculated formation energy in eV per atom: 0.982
E in eV per atom: -5.53
Magnetization in μB per cell: 1.20

***

Record 8
The following is a PBE calculation of crystalline ZnCoH4 at its relaxed geometry, from Alexandria.

Cell and atoms, written as CIF:
```
data_ZnCoH4
_chemical_formula_sum 'Zn2 Co2 H8'
_cell_length_a 5.168
_cell_length_b 4.445
_cell_length_c 4.445
_cell_angle_alpha 119.02
_cell_angle_beta 90.00
_cell_angle_gamma 90.00
_symmetry_space_group_name_H-M 'P 1'
_symmetry_Int_Tables_number 1
_symmetry_space_group_name_Hall 'P 1'
loop_
_atom_site_label
_atom_site_type_symbol
_atom_site_fract_x
_atom_site_fract_y
_atom_site_fract_z
_atom_site_occupancy
Zn1 Zn 0.000 0.000 0.000 1
Zn2 Zn 0.500 0.000 0.000 1
Co1 Co 0.250 0.500 0.488 1
Co2 Co 0.750 0.488 0.500 1
H1 H 0.004 0.357 0.630 1
H2 H 0.250 0.337 0.085 1
H3 H 0.250 0.680 0.901 1
H4 H 0.496 0.357 0.630 1
H5 H 0.504 0.630 0.357 1
H6 H 0.750 0.085 0.337 1
H7 H 0.750 0.901 0.680 1
H8 H 0.996 0.630 0.357 1
```

Output
E in eV per atom: -3.43
Magnetization in μB per cell: 0.00

***

Record 9
The following is a PBE calculation of crystalline Li4SmLu at its relaxed geometry, from Alexandria.

Cell and atoms, written as CIF:
```
data_Li4SmLu
_chemical_formula_sum 'Li4 Sm1 Lu1'
_cell_length_a 5.837
_cell_length_b 5.837
_cell_length_c 5.837
_cell_angle_alpha 60.00
_cell_angle_beta 60.00
_cell_angle_gamma 60.00
_symmetry_space_group_name_H-M 'P 1'
_symmetry_Int_Tables_number 1
_symmetry_space_group_name_Hall 'P 1'
loop_
_atom_site_label
_atom_site_type_symbol
_atom_site_fract_x
_atom_site_fract_y
_atom_site_fract_z
_atom_site_occupancy
Li1 Li 0.125 0.125 0.125 1
Li2 Li 0.125 0.125 0.624 1
Li3 Li 0.125 0.624 0.125 1
Li4 Li 0.624 0.125 0.125 1
Sm1 Sm 0.750 0.750 0.750 1
Lu1 Lu 0.500 0.500 0.500 1
```

Output
Calculated formation energy in eV per atom: 0.117
E in eV per atom: -2.70
Magnetization in μB per cell: 0.00

***

Record 10
The following is a PBE calculation of crystalline PmMg3Tl4 at its relaxed geometry, from Alexandria.

Cell and atoms, written as CIF:
```
data_PmMg3Tl4
_chemical_formula_sum 'Pm1 Mg3 Tl4'
_cell_length_a 5.093
_cell_length_b 5.093
_cell_length_c 7.906
_cell_angle_alpha 90.00
_cell_angle_beta 90.00
_cell_angle_gamma 90.00
_symmetry_space_group_name_H-M 'P 1'
_symmetry_Int_Tables_number 1
_symmetry_space_group_name_Hall 'P 1'
loop_
_atom_site_label
_atom_site_type_symbol
_atom_site_fract_x
_atom_site_fract_y
_atom_site_fract_z
_atom_site_occupancy
Pm1 Pm 0.000 0.000 0.000 1
Mg1 Mg 0.000 0.000 0.500 1
Mg2 Mg 0.500 0.500 0.000 1
Mg3 Mg 0.500 0.500 0.500 1
Tl1 Tl 0.000 0.500 0.265 1
Tl2 Tl 0.000 0.500 0.735 1
Tl3 Tl 0.500 0.000 0.265 1
Tl4 Tl 0.500 0.000 0.735 1
```

Output
Calculated formation energy in eV per atom: -0.160
E in eV per atom: -2.53
Magnetization in μB per cell: 0.00

***

Record 11
The following is a PBE calculation of crystalline ScIrCl2 at its relaxed geometry, from Alexandria.

Cell and atoms, written as CIF:
```
data_ScIrCl2
_chemical_formula_sum 'Sc1 Ir1 Cl2'
_cell_length_a 3.063
_cell_length_b 4.222
_cell_length_c 5.441
_cell_angle_alpha 90.00
_cell_angle_beta 90.00
_cell_angle_gamma 90.00
_symmetry_space_group_name_H-M 'P 1'
_symmetry_Int_Tables_number 1
_symmetry_space_group_name_Hall 'P 1'
loop_
_atom_site_label
_atom_site_type_symbol
_atom_site_fract_x
_atom_site_fract_y
_atom_site_fract_z
_atom_site_occupancy
Sc1 Sc 0.000 0.000 0.000 1
Ir1 Ir 0.500 0.000 0.500 1
Cl1 Cl 0.000 0.500 0.500 1
Cl2 Cl 0.500 0.500 0.000 1
```

Output
E in eV per atom: -5.08
Magnetization in μB per cell: 0.00
Energy relative to the elements, uncorrected in eV/atom: -0.36

***

Record 12
The following is a PBE calculation of crystalline NdNpScO6 at its relaxed geometry, from Alexandria.

Cell and atoms, written as CIF:
```
data_NdNpScO6
_chemical_formula_sum 'Nd2 Np2 Sc2 O12'
_cell_length_a 5.561
_cell_length_b 5.561
_cell_length_c 9.993
_cell_angle_alpha 90.00
_cell_angle_beta 90.00
_cell_angle_gamma 120.00
_symmetry_space_group_name_H-M 'P 1'
_symmetry_Int_Tables_number 1
_symmetry_space_group_name_Hall 'P 1'
loop_
_atom_site_label
_atom_site_type_symbol
_atom_site_fract_x
_atom_site_fract_y
_atom_site_fract_z
_atom_site_occupancy
Nd1 Nd 0.000 0.000 0.000 1
Nd2 Nd 0.000 0.000 0.500 1
Np1 Np 0.333 0.667 0.250 1
Np2 Np 0.667 0.333 0.750 1
Sc1 Sc 0.333 0.667 0.750 1
Sc2 Sc 0.667 0.333 0.250 1
O1 O 0.007 0.360 0.140 1
O2 O 0.007 0.647 0.360 1
O3 O 0.353 0.360 0.360 1
O4 O 0.353 0.993 0.140 1
O5 O 0.360 0.007 0.640 1
O6 O 0.360 0.353 0.860 1
O7 O 0.640 0.647 0.140 1
O8 O 0.640 0.993 0.360 1
O9 O 0.647 0.007 0.860 1
O10 O 0.647 0.640 0.640 1
O11 O 0.993 0.353 0.640 1
O12 O 0.993 0.640 0.860 1
```

Output
E in eV per atom: -9.17
Magnetization in μB per cell: 2.00
Energy relative to the elements, uncorrected in eV/atom: -3.19

***

Record 13
The following is a PBE calculation of crystalline DyTh2Ni2 at its relaxed geometry, from Alexandria.

Cell and atoms, written as CIF:
```
data_DyTh2Ni2
_chemical_formula_sum 'Dy2 Th4 Ni4'
_cell_length_a 7.818
_cell_length_b 7.818
_cell_length_c 3.750
_cell_angle_alpha 90.00
_cell_angle_beta 90.00
_cell_angle_gamma 90.00
_symmetry_space_group_name_H-M 'P 1'
_symmetry_Int_Tables_number 1
_symmetry_space_group_name_Hall 'P 1'
loop_
_atom_site_label
_atom_site_type_symbol
_atom_site_fract_x
_atom_site_fract_y
_atom_site_fract_z
_atom_site_occupancy
Dy1 Dy 0.000 0.000 0.000 1
Dy2 Dy 0.500 0.500 0.000 1
Th1 Th 0.166 0.334 0.500 1
Th2 Th 0.334 0.834 0.500 1
Th3 Th 0.666 0.166 0.500 1
Th4 Th 0.834 0.666 0.500 1
Ni1 Ni 0.124 0.624 0.000 1
Ni2 Ni 0.376 0.124 0.000 1
Ni3 Ni 0.624 0.876 0.000 1
Ni4 Ni 0.876 0.376 0.000 1
```

Output
Calculated formation energy in eV per atom: -0.337
E in eV per atom: -6.54
Magnetization in μB per cell: 0.00